A relaxed TbHo4Er8 crystal. Source: Alexandria, functional GGA-PBE.

a = 7.206 Å, b = 7.206 Å, c = 9.870 Å
α = 90.00°, β = 111.41°, γ = 120.00°
Sites, in units of the cell vectors:
Tb 0.000 0.500 0.500
Ho 0.000 0.000 0.000
Ho 0.000 0.500 0.000
Ho 0.500 0.500 0.000
Ho 0.500 0.000 0.000
Er 0.567 0.783 0.350
Er 0.433 0.217 0.650
Er 0.499 0.249 0.304
Er 0.946 0.195 0.696
Er 0.501 0.751 0.696
Er 0.946 0.751 0.696
Er 0.054 0.249 0.304
Er 0.054 0.805 0.304

Output
DFT total energy   -56.540 eV for the cell shown
Energy of formation   280 kJ/mol of formula units


A relaxed Tb9Ho11Er4 crystal. Source: Alexandria, functional GGA-PBE.

a = 3.638 Å, b = 15.002 Å, c = 15.002 Å
α = 113.00°, β = 90.00°, γ = 90.00°
Sites, in units of the cell vectors:
Tb 0.500 0.631 0.164
Tb 0.500 0.369 0.836
Tb 0.500 0.164 0.631
Tb 0.500 0.836 0.369
Tb 0.500 0.786 0.932
Tb 0.500 0.214 0.068
Tb 0.500 0.932 0.786
Tb 0.500 0.068 0.214
Tb 0.500 0.500 0.500
Ho 0.000 0.593 0.955
Ho 0.000 0.407 0.045
Ho 0.000 0.955 0.593
Ho 0.000 0.045 0.407
Ho 0.000 0.633 0.367
Ho 0.000 0.367 0.633
Ho 0.000 0.840 0.160
Ho 0.000 0.160 0.840
Ho 0.000 0.000 0.000
Ho 0.000 0.708 0.708
Ho 0.000 0.292 0.292
Er 0.500 0.554 0.756
Er 0.500 0.446 0.244
Er 0.500 0.756 0.554
Er 0.500 0.244 0.446

Output
DFT total energy   -109.106 eV for the cell shown
Energy of formation   113 kJ/mol of formula units


A relaxed Tb2HoEr crystal. Source: Alexandria, functional GGA-PBE.

a = 4.985 Å, b = 4.996 Å, c = 4.996 Å
α = 90.00°, β = 90.00°, γ = 90.00°
Sites, in units of the cell vectors:
Tb 0.000 0.000 0.500
Tb 0.000 0.500 0.000
Ho 0.500 0.500 0.500
Er 0.500 0.000 0.000

Output
DFT total energy   -18.318 eV for the cell shown
Excess energy over the best structure of this formula in the dataset   0.015 eV/atom
Energy of formation   8 kJ/mol of formula units


A relaxed Tb4HoEr2 crystal. Source: Alexandria, functional GGA-PBE.

a = 3.506 Å, b = 9.357 Å, c = 8.509 Å
α = 121.66°, β = 78.11°, γ = 112.01°
Sites, in units of the cell vectors:
Tb 0.410 0.706 0.592
Tb 0.806 0.166 0.721
Tb 0.590 0.294 0.408
Tb 0.194 0.834 0.279
Ho 0.000 0.000 0.000
Er 0.359 0.430 0.141
Er 0.641 0.570 0.859

Output
DFT total energy   -31.962 eV for the cell shown
Excess energy over the best structure of this formula in the dataset   0.000 eV/atom
Energy of formation   25 kJ/mol of formula units


A relaxed Tb2HoEr4 crystal. Source: Alexandria, functional GGA-PBE.

a = 5.972 Å, b = 6.545 Å, c = 11.523 Å
α = 90.00°, β = 105.37°, γ = 90.00°
Sites, in units of the cell vectors:
Tb 0.605 0.750 0.007
Tb 0.395 0.250 0.993
Tb 0.287 0.250 0.445
Tb 0.713 0.750 0.555
Ho 0.164 0.750 0.141
Ho 0.836 0.250 0.859
Er 0.634 0.496 0.290
Er 0.988 0.750 0.839
Er 0.012 0.250 0.161
Er 0.634 0.004 0.290
Er 0.855 0.250 0.576
Er 0.366 0.996 0.710
Er 0.366 0.504 0.710
Er 0.145 0.750 0.424

Output
DFT total energy   -62.209 eV for the cell shown
Excess energy over the best structure of this formula in the dataset   0.137 eV/atom
Energy of formation   95 kJ/mol of formula units


A relaxed Tb2HoEr crystal. Source: Alexandria, functional GGA-PBE.

a = 5.634 Å, b = 5.634 Å, c = 5.634 Å
α = 60.00°, β = 60.00°, γ = 60.00°
Sites, in units of the cell vectors:
Tb 0.250 0.250 0.250
Tb 0.750 0.750 0.750
Ho 0.000 0.000 0.000
Er 0.500 0.500 0.500

Output
DFT total energy   -17.839 eV for the cell shown
Excess energy over the best structure of this formula in the dataset   0.135 eV/atom
Energy of formation   54 kJ/mol of formula units


A relaxed TbHo4Er3 crystal. Source: Alexandria, functional GGA-PBE.

a = 6.109 Å, b = 3.529 Å, c = 14.719 Å
α = 53.16°, β = 77.99°, γ = 89.95°
Sites, in units of the cell vectors:
Tb 0.500 0.000 0.000
Ho 0.708 0.375 0.250
Ho 0.292 0.625 0.750
Ho 0.250 0.749 0.500
Ho 0.750 0.251 0.500
Er 0.000 0.500 0.000
Er 0.792 0.126 0.750
Er 0.208 0.874 0.250

Output
DFT total energy   -36.600 eV for the cell shown
Excess energy over the best structure of this formula in the dataset   0.002 eV/atom
Energy of formation   3 kJ/mol of formula units


A relaxed Tb14HoEr crystal. Source: Alexandria, functional GGA-PBE.

a = 7.102 Å, b = 7.102 Å, c = 10.020 Å
α = 90.00°, β = 90.00°, γ = 90.00°
Sites, in units of the cell vectors:
Tb 0.375 0.625 0.500
Tb 0.875 0.125 0.500
Tb 0.875 0.625 0.000
Tb 0.875 0.625 0.500
Tb 0.375 0.125 0.000
Tb 0.375 0.125 0.500
Tb 0.625 0.875 0.751
Tb 0.625 0.875 0.249
Tb 0.125 0.375 0.751
Tb 0.125 0.375 0.249
Tb 0.125 0.875 0.751
Tb 0.125 0.875 0.249
Tb 0.625 0.375 0.751
Tb 0.625 0.375 0.249
Ho 0.875 0.125 0.000
Er 0.375 0.625 0.000

Output
DFT total energy   -73.738 eV for the cell shown
Energy of formation   22 kJ/mol of formula units